[1]
DFT (GGA-PBE) results for a geometry-optimized Cr3AsRu structure.

## Properties
V in Å³/f.u.: 101.2
Magnetic moment in μB per cell: 9.7
Energy of formation in kcal/mol of atoms: 27.36

a b c (Å): 4.6599 4.6599 4.6599
angles (deg): 90.00 90.00 90.00
Fractional coordinates of all 5 atoms:
Cr 0.0000 0.0000 0.5000
Cr 0.0000 0.5000 0.0000
Cr 0.5000 0.0000 0.0000
As 0.5000 0.5000 0.5000
Ru 0.0000 0.0000 0.0000

[2]
DFT (GGA-PBE) results for a geometry-optimized Na2CdHPt structure.

## Properties
V in Å³/f.u.: 89.0
Magnetic moment in μB per cell: 0.0
Total energy in eV per atom: -2.7455

a b c (Å): 4.9767 4.9767 3.5929
angles (deg): 90.00 90.00 90.00
Fractional coordinates of all 5 atoms:
Na 0.0000 0.5000 0.0000
Na 0.5000 0.0000 0.0000
Cd 0.0000 0.0000 0.5000
H 0.5000 0.5000 0.0000
Pt 0.5000 0.5000 0.5000